(1)
VASP calculation (GGA-PBE) on a relaxed structure of CaLa2PaN4.

Its formation energy without anion corrections is -1400 meV/atom. The total energy comes out at -8.23 eV per atom. The calculation puts the density of states at the Fermi level at 0.367 states/eV per atom.

The space group is P2/m (No. 10) and the conventional cell measures 6.174, 3.651 and 6.321 Å, with angles of 90.00, 108.83 and 90.00 degrees. The inequivalent atoms are Ca at (0.000, 0.000, 0.000), La at (0.000, 0.500, 0.500), La at (0.500, 0.000, 0.500), Pa at (0.500, 0.500, 0.000), N at (0.275, 0.000, 0.777) and N at (0.279, 0.500, 0.227).

***

(2)
VASP calculation (GGA-PBE) on a relaxed structure of Ca3La2PaN6.

Its formation energy without anion corrections is -1232 meV/atom. The total energy comes out at -7.51 eV per atom. The calculation puts the density of states at the Fermi level at 1.233 states/eV per atom.

The space group is C2/m (No. 12) and the conventional cell measures 6.326, 10.950 and 6.165 Å, with angles of 90.00, 110.26 and 90.00 degrees. The inequivalent atoms are Ca at (0.000, 0.000, 0.000), Ca at (0.000, 0.339, 0.000), La at (0.000, 0.167, 0.500), Pa at (0.000, 0.500, 0.500), N at (0.227, 0.348, 0.729) and N at (0.231, 0.500, 0.278).

***

(3)
VASP calculation (GGA-PBE) on a relaxed structure of CaLaPaN3.

Its formation energy without anion corrections is -1319 meV/atom. The total energy comes out at -8.22 eV per atom. The calculation puts the density of states at the Fermi level at 0.188 states/eV per atom.

The space group is P2_1/m (No. 11) and the conventional cell measures 7.088, 3.628 and 9.529 Å, with angles of 90.00, 99.66 and 90.00 degrees. The inequivalent atoms are Ca at (0.199, 0.250, 0.041), La at (0.410, 0.250, 0.646), Pa at (0.096, 0.750, 0.362), N at (0.073, 0.750, 0.144), N at (0.134, 0.750, 0.598) and N at (0.338, 0.250, 0.393).

***

(4)
VASP calculation (GGA-PBE) on a relaxed structure of Ca3LaPa3N8.

Its formation energy without anion corrections is -1304 meV/atom. The total energy comes out at -8.37 eV per atom.

The space group is R-3m (No. 166, hexagonal axes) and the conventional cell measures 7.2130, 7.2130 and 17.0335 Å, with angles of 90.00, 90.00 and 120.00 degrees. The inequivalent atoms are Ca at (0.0000, 0.5000, 0.0000), La at (0.0000, 0.0000, 0.5000), Pa at (0.0000, 0.5000, 0.5000), N at (0.0000, 0.0000, 0.2443) and N at (0.0198, 0.5099, 0.7697).

***

(5)
VASP calculation (GGA-PBE) on a relaxed structure of CaLa2PbN.

Its formation energy without anion corrections is -926 meV/atom. The total energy comes out at -5.70 eV per atom. The calculation puts the density of states at the Fermi level at 0.451 states/eV per atom.

The space group is P4/mmm (No. 123) and the conventional cell measures 5.115, 5.115 and 5.007 Å, with angles of 90.00, 90.00 and 90.00 degrees. The inequivalent atoms are Ca at (0.000, 0.000, 0.000), La at (0.000, 0.500, 0.500), Pb at (0.500, 0.500, 0.000) and N at (0.000, 0.000, 0.500).

***

(6)
VASP calculation (GGA-PBE) on a relaxed structure of Ca2LaPbN.

Its formation energy without anion corrections is -930 meV/atom. The total energy comes out at -5.12 eV per atom. The calculation puts the density of states at the Fermi level at 0.066 states/eV per atom.

The space group is P4/mmm (No. 123) and the conventional cell measures 4.974, 4.974 and 5.077 Å, with angles of 90.00, 90.00 and 90.00 degrees. The inequivalent atoms are Ca at (0.000, 0.500, 0.000), La at (0.000, 0.000, 0.500), Pb at (0.500, 0.500, 0.500) and N at (0.000, 0.000, 0.000).

***

(7)
VASP calculation (GGA-PBE) on a relaxed structure of CaLaPbN.

Its formation energy without anion corrections is -876 meV/atom. The total energy comes out at -5.62 eV per atom. The calculation puts the density of states at the Fermi level at 0.299 states/eV per atom.

The space group is R3m (No. 160, hexagonal axes) and the conventional cell measures 3.7062, 3.7062 and 24.5530 Å, with angles of 90.00, 90.00 and 120.00 degrees. The inequivalent atoms are Ca at (0.0000, 0.0000, 0.0000), La at (0.0000, 0.0000, 0.2196), Pb at (0.0000, 0.0000, 0.4384) and N at (0.0000, 0.0000, 0.6040).

***

(8)
VASP calculation (GGA-PBE) on a relaxed structure of Ca2LaPdN.

Its formation energy without anion corrections is -731 meV/atom. The total energy comes out at -5.22 eV per atom. The calculation puts the density of states at the Fermi level at 0.414 states/eV per atom.

The space group is P4/mmm (No. 123) and the conventional cell measures 4.796, 4.796 and 5.067 Å, with angles of 90.00, 90.00 and 90.00 degrees. The inequivalent atoms are Ca at (0.000, 0.500, 0.000), La at (0.000, 0.000, 0.500), Pd at (0.500, 0.500, 0.500) and N at (0.000, 0.000, 0.000).